[1]
Compound: SrLi2Si6
Source: Alexandria via LeMat-Bulk
Functional: PBE
Structure: optimized geometry

Volume   19.9 Å³ per atom
D(E_F)   0.284 states/eV/atom
Final energy   -4.33 eV per atom
Symmetry   Immm

Structure (CIF):
```
data_SrLi2Si6
_chemical_formula_sum 'Sr1 Li2 Si6'
_cell_length_a 7.135
_cell_length_b 7.135
_cell_length_c 7.135
_cell_angle_alpha 148.71
_cell_angle_beta 102.97
_cell_angle_gamma 85.47
_space_group_name_H-M_alt 'P 1'
_space_group_IT_number 1
_space_group_name_Hall 'P 1'
loop_
_atom_site_label
_atom_site_fract_x
_atom_site_fract_y
_atom_site_fract_z
Sr1 0.000 0.000 0.000
Li1 0.352 0.852 0.500
Li2 0.648 0.148 0.500
Si1 0.040 0.314 0.726
Si2 0.368 0.500 0.868
Si3 0.412 0.686 0.726
Si4 0.588 0.314 0.274
Si5 0.632 0.500 0.132
Si6 0.960 0.686 0.274
```

***

[2]
Compound: Ba2AgMo
Source: Alexandria via LeMat-Bulk
Functional: PBE
Structure: optimized geometry

Volume   34.2 Å³ per atom
D(E_F)   0.898 states/eV/atom
E_form   0.750 eV/atom
Final energy   -3.63 eV per atom
Symmetry   Fm-3m

Structure (CIF):
```
data_Ba2AgMo
_chemical_formula_sum 'Ba2 Ag1 Mo1'
_cell_length_a 5.781
_cell_length_b 5.781
_cell_length_c 5.781
_cell_angle_alpha 60.00
_cell_angle_beta 60.00
_cell_angle_gamma 60.00
_space_group_name_H-M_alt 'P 1'
_space_group_IT_number 1
_space_group_name_Hall 'P 1'
loop_
_atom_site_label
_atom_site_fract_x
_atom_site_fract_y
_atom_site_fract_z
Ba1 0.250 0.250 0.250
Ba2 0.750 0.750 0.750
Ag1 0.000 0.000 0.000
Mo1 0.500 0.500 0.500
```